(1)
Computed, not measured: Ti4CrH10 after structural relaxation at the PBE-GGA level of DFT.

```
data_Ti4CrH10
_chemical_formula_sum 'Ti8 Cr2 H20'
_cell_length_a 6.9283
_cell_length_b 6.9283
_cell_length_c 4.3142
_cell_angle_alpha 90.00
_cell_angle_beta 90.00
_cell_angle_gamma 90.00
_space_group_name_H-M_alt 'I 4/m'
_space_group_IT_number 87
_space_group_name_Hall '-I 4'
loop_
_atom_site_label
_atom_site_type_symbol
_atom_site_fract_x
_atom_site_fract_y
_atom_site_fract_z
_atom_site_occupancy
Ti1 Ti 0.1021 0.7017 0.0000 1
Cr1 Cr 0.0000 0.0000 0.5000 1
H1 H 0.0000 0.5000 0.2500 1
H2 H 0.0963 0.1950 0.2559 1
```

(2)
Computed, not measured: TiCr3H after structural relaxation at the PBE-GGA level of DFT.

```
data_TiCr3H
_chemical_formula_sum 'Ti1 Cr3 H1'
_cell_length_a 3.7791
_cell_length_b 3.7791
_cell_length_c 3.7791
_cell_angle_alpha 90.00
_cell_angle_beta 90.00
_cell_angle_gamma 90.00
_space_group_name_H-M_alt 'P m -3 m'
_space_group_IT_number 221
_space_group_name_Hall '-P 4 2 3'
loop_
_atom_site_label
_atom_site_type_symbol
_atom_site_fract_x
_atom_site_fract_y
_atom_site_fract_z
_atom_site_occupancy
Ti1 Ti 0.0000 0.0000 0.0000 1
Cr1 Cr 0.0000 0.5000 0.5000 1
H1 H 0.5000 0.5000 0.5000 1
```

(3)
Computed, not measured: TiCrH4 after structural relaxation at the PBE-GGA level of DFT.

```
data_TiCrH4
_chemical_formula_sum 'Ti1 Cr1 H4'
_cell_length_a 2.9961
_cell_length_b 2.9961
_cell_length_c 4.2667
_cell_angle_alpha 90.00
_cell_angle_beta 90.00
_cell_angle_gamma 90.00
_space_group_name_H-M_alt 'P 4/m m m'
_space_group_IT_number 123
_space_group_name_Hall '-P 4 2'
loop_
_atom_site_label
_atom_site_type_symbol
_atom_site_fract_x
_atom_site_fract_y
_atom_site_fract_z
_atom_site_occupancy
Ti1 Ti 0.0000 0.0000 0.0000 1
Cr1 Cr 0.5000 0.5000 0.5000 1
H1 H 0.0000 0.5000 0.2709 1
```

no.,M_tot (μB per atom),VASP energy (eV per formula unit)
1,0.156,-80.746
2,0.000,-38.952
3,0.153,-32.443